The following is a PBE calculation of a relaxed Tb2Ho7Er crystal, from Alexandria via LeMat-Bulk.

The structure belongs to space group Cmmm (No. 65); the cell edges are 8.6003, 17.3006 and 5.0635 Å and the angles 90.00°, 90.00° and 90.00°. The asymmetric unit holds Tb at (0.0000, 0.2013, 0.0000), Ho at (0.0000, 0.0000, 0.0000), Ho at (0.0000, 0.3059, 0.5000), Ho at (0.1800, 0.3935, 0.0000) and Er at (0.0000, 0.5000, 0.5000).

The value obtained for the density is 7.23 g cm⁻³. The value obtained for the density of states at the Fermi level is 22.91 states/eV/cell. The value obtained for the polymorph energy (0 for the lowest one) is 0.678 eV/atom. The value obtained for the calculated formation energy is 0.698 eV/atom. The calculation puts the total energy at -3.89 eV per atom. As for the volume: 376.7 Å³/f.u.